No. 1
PaTl3V2S6: optimized geometry, PBE-GGA.

Lattice parameters (Å, degrees): 6.327 6.327 8.312 97.98 97.98 120.10
Fractional coordinates of all 12 atoms:
Pa (0.000, 0.000, 0.000)
Tl (0.163, 0.837, 0.500)
Tl (0.500, 0.500, 0.500)
Tl (0.837, 0.163, 0.500)
V (0.332, 0.668, 0.000)
V (0.668, 0.332, 0.000)
S (0.066, 0.423, 0.178)
S (0.294, 0.294, 0.825)
S (0.423, 0.066, 0.178)
S (0.577, 0.934, 0.822)
S (0.706, 0.706, 0.175)
S (0.934, 0.577, 0.822)

Formation energy from raw total energies in meV per atom: -899
E_tot in eV per atom: -5.87
DOS(E_F) in states/eV per atom: 0.623



No. 2
Y3PaTl3S8: optimized geometry, PBE-GGA.

Lattice parameters (Å, degrees): 8.909 8.909 8.909 53.79 53.79 53.79
Fractional coordinates of all 15 atoms:
Y (0.000, 0.500, 0.500)
Y (0.500, 0.000, 0.500)
Y (0.500, 0.500, 0.000)
Pa (0.000, 0.000, 0.000)
Tl (0.000, 0.000, 0.500)
Tl (0.000, 0.500, 0.000)
Tl (0.500, 0.000, 0.000)
S (0.229, 0.229, 0.736)
S (0.229, 0.736, 0.229)
S (0.264, 0.771, 0.771)
S (0.268, 0.268, 0.268)
S (0.732, 0.732, 0.732)
S (0.736, 0.229, 0.229)
S (0.771, 0.264, 0.771)
S (0.771, 0.771, 0.264)

Formation energy from raw total energies in meV per atom: -1513
E_tot in eV per atom: -6.11
DOS(E_F) in states/eV per atom: 0.352



No. 3
Tm2PaS: optimized geometry, PBE-GGA.

Lattice parameters (Å, degrees): 10.170 10.170 10.170 19.41 19.41 19.41
Fractional coordinates of all 4 atoms:
Tm (0.108, 0.108, 0.108)
Tm (0.892, 0.892, 0.892)
Pa (0.000, 0.000, 0.000)
S (0.500, 0.500, 0.500)

Formation energy from raw total energies in meV per atom: -507
E_tot in eV per atom: -6.15
DOS(E_F) in states/eV per atom: 1.295